[1]
Below is crystalline PmAl3Os2 at its relaxed geometry, with properties calculated at the PBE level.

Cell: 5.3845 6.4289 6.4289 Å, 99.49 90.00 90.00°
With the nearest neighbours (Å) after each atom.
Element x y z (fractional)
Os 0.0000 0.7806 0.2194  6 Al 2.52-2.65, 2 Os 2.69
Os 0.5000 0.7806 0.2194  6 Al 2.52-2.65, 2 Os 2.69
Os 0.0000 0.2194 0.7806  6 Al 2.52-2.65, 2 Os 2.69
Os 0.5000 0.2194 0.7806  6 Al 2.52-2.65, 2 Os 2.69
Pm 0.2500 0.3460 0.3460  7 Al 3.22-3.29, 4 Os 3.32
Pm 0.7500 0.6540 0.6540  7 Al 3.22-3.29, 4 Os 3.32
Al 0.2500 0.5475 0.9099  4 Os 2.52-2.65, 1 Al 2.61
Al 0.7500 0.0901 0.4525  4 Os 2.52-2.65, 1 Al 2.61
Al 0.2500 0.9587 0.9587  4 Os 2.56, 4 Al 2.61-2.78
Al 0.7500 0.4525 0.0901  4 Os 2.52-2.65, 1 Al 2.61
Al 0.7500 0.0413 0.0413  4 Os 2.56, 4 Al 2.61-2.78
Al 0.2500 0.9099 0.5475  4 Os 2.52-2.65, 1 Al 2.61

M_tot   0.0 μB/f.u.
Symmetry   No. 63
Calculated formation energy   -427 meV per atom
N(E_F)   5.35 states/eV per cell



[2]
Below is crystalline Ac2AlTe5 at its relaxed geometry, with properties calculated at the PBE level.

Cell: 8.1145 7.9789 8.1083 Å, 120.25 132.11 88.04°
With the nearest neighbours (Å) after each atom.
Element x y z (fractional)
Te 0.7597 0.7244 0.4358  1 Al 2.68
Te 0.3286 0.3265 0.2185  1 Al 2.62
Te 0.6404 0.2157 0.8425  1 Al 2.68
Te 0.2440 0.7056 0.9341  2 Te 3.27-3.33, 3 Ac 3.34-3.49, 1 Al 3.51
Te 0.8441 0.8668 0.1124  1 Al 2.62
Ac 0.2276 0.7221 0.5200  7 Te 3.34-3.61
Ac 0.8029 0.1993 0.5489  7 Te 3.36-3.52, 1 Al 3.68
Al 0.9297 0.0166 0.9417  4 Te 2.62-2.68

M_tot   0.0 μB/f.u.
Symmetry   No. 1
N(E_F)   0.53 states/eV per cell
Raw formation energy   -1.0314 eV/atom



[3]
Below is crystalline KSi3Se at its relaxed geometry, with properties calculated at the PBE level.

Cell: 5.4618 5.4618 5.4618 Å, 90.00 90.00 90.00°
With the nearest neighbours (Å) after each atom.
Element x y z (fractional)
Se 0.5000 0.5000 0.5000  12 Si 3.86
Si 0.5000 0.0000 0.0000  2 K 2.73
Si 0.0000 0.0000 0.5000  2 K 2.73
Si 0.0000 0.5000 0.0000  2 K 2.73
K 0.0000 0.0000 0.0000  6 Si 2.73

M_tot   0.0 μB/f.u.
Symmetry   No. 221
Relative energy among the computed polymorphs   6.73 eV per formula unit
N(E_F)   8.10 states/eV per cell
Raw formation energy   2.1722 eV/atom